Compound: Dy2Y10Er
Source: the Alexandria database
Functional: GGA-PBE
Structure: optimized geometry

The value obtained for the formation enthalpy at 0 K is 0.2972 eV/atom. As for the space group: Fmmm, No. 69. The total magnetization is 0.00 μB/f.u.

```
Dy2Y10Er
1.0
6.529 0.000 0.000
3.265 7.798 0.000
3.265 0.000 8.623
Y Dy Er
10 2 1
Direct
0.012 0.636 0.340
0.498 0.206 0.798
0.352 0.636 0.660
0.648 0.364 0.340
0.000 0.000 0.500
0.500 0.000 0.500
0.296 0.206 0.202
0.502 0.794 0.202
0.704 0.794 0.798
0.988 0.364 0.660
0.500 0.500 0.000
0.000 0.500 0.000
0.000 0.000 0.000
```